(1)
Computed, not measured: crystalline ErTm3Rh at its relaxed geometry at the PBE level of DFT.

Properties
density of states at the Fermi level: 22.98 states/eV/cell
energy of formation: -416 meV/atom

Cell: 11.808 3.728 13.397 Å, 90.00 115.20 90.00°
Space group Cm (No. 8)
Symmetry-distinct sites (fractional):
1 Er 0.000 0.000 0.000 [2 per cell]
2 Er 0.109 0.000 0.282 [2 per cell]
3 Tm 0.123 0.000 0.628 [2 per cell]
4 Tm 0.233 0.000 0.909 [2 per cell]
5 Tm 0.276 0.500 0.153 [2 per cell]
6 Tm 0.293 0.500 0.518 [2 per cell]
7 Tm 0.439 0.000 0.392 [2 per cell]
8 Tm 0.456 0.000 0.756 [2 per cell]
9 Rh 0.292 0.500 0.781 [2 per cell]
10 Rh 0.439 0.000 0.127 [2 per cell]



(2)
Computed, not measured: crystalline ZnMo at its relaxed geometry at the PBE level of DFT.

Properties
density of states at the Fermi level: 8.07 states/eV/cell
energy of formation: 206 meV/atom

Cell: 10.496 2.664 6.732 Å, 90.00 103.96 90.00°
Space group Cm (No. 8)
Symmetry-distinct sites (fractional):
1 Zn 0.000 0.000 0.000 [2 per cell]
2 Zn 0.065 0.000 0.615 [2 per cell]
3 Zn 0.407 0.000 0.283 [2 per cell]
4 Mo 0.180 0.500 0.322 [2 per cell]
5 Mo 0.227 0.500 0.959 [2 per cell]
6 Mo 0.338 0.000 0.663 [2 per cell]



(3)
Computed, not measured: crystalline PmNd12Er6 at its relaxed geometry at the PBE level of DFT.

Properties
density of states at the Fermi level: 110.86 states/eV/cell
energy of formation: 190 meV/atom

Cell: 13.4762 13.4762 12.6642 Å, 90.00 90.00 120.00°
Space group R-3m (No. 166, hexagonal axes)
Symmetry-distinct sites (fractional):
1 Pm 0.0000 0.0000 0.0000 [3 per cell]
2 Nd 0.0000 0.2584 0.5000 [18 per cell]
3 Nd 0.0905 0.1809 0.2628 [18 per cell]
4 Er 0.0433 0.5217 0.6203 [18 per cell]



(4)
Computed, not measured: crystalline AcLa2Pr6Nd at its relaxed geometry at the PBE level of DFT.

Properties
density of states at the Fermi level: 65.12 states/eV/cell
energy of formation: 108 meV/atom

Cell: 9.438 15.797 10.143 Å, 90.00 97.35 90.00°
Space group C2/c (No. 15)
Symmetry-distinct sites (fractional):
1 Ac 0.000 0.019 0.250 [4 per cell]
2 La 0.248 0.056 0.543 [8 per cell]
3 Pr 0.068 0.191 0.946 [8 per cell]
4 Pr 0.102 0.398 0.118 [8 per cell]
5 Pr 0.205 0.227 0.312 [8 per cell]
6 Nd 0.000 0.406 0.750 [4 per cell]



(5)
Computed, not measured: crystalline Ce4BiSb5 at its relaxed geometry at the PBE level of DFT.

Properties
density of states at the Fermi level: 56.87 states/eV/cell
E_form (uncorrected): -781 meV per atom

Cell: 4.521 4.521 31.988 Å, 90.00 90.00 90.00°
Space group I4/mmm (No. 139)
Symmetry-distinct sites (fractional):
1 Ce 0.000 0.000 0.100 [4 per cell]
2 Ce 0.000 0.000 0.299 [4 per cell]
3 Bi 0.000 0.000 0.500 [2 per cell]
4 Sb 0.000 0.000 0.000 [2 per cell]
5 Sb 0.000 0.000 0.200 [4 per cell]
6 Sb 0.000 0.000 0.399 [4 per cell]



(6)
Computed, not measured: crystalline TaHg2Te at its relaxed geometry at the PBE level of DFT.

Properties
density of states at the Fermi level: 4.75 states/eV/cell
E_form (uncorrected): 521 meV per atom

Cell: 4.460 4.460 8.858 Å, 90.00 90.00 90.00°
Space group I-4m2 (No. 119)
Symmetry-distinct sites (fractional):
1 Ta 0.000 0.000 0.000 [2 per cell]
2 Hg 0.000 0.000 0.500 [2 per cell]
3 Hg 0.000 0.500 0.250 [2 per cell]
4 Te 0.000 0.500 0.750 [2 per cell]



(7)
Computed, not measured: crystalline RhC3 at its relaxed geometry at the PBE level of DFT.

Properties
density of states at the Fermi level: 3.15 states/eV/cell
energy of formation: 1367 meV/atom

Cell: 2.932 6.201 3.916 Å, 90.00 90.00 90.00°
Space group Imm2 (No. 44)
Symmetry-distinct sites (fractional):
1 Rh 0.000 0.000 0.000 [2 per cell]
2 C 0.000 0.330 0.839 [4 per cell]
3 C 0.000 0.500 0.082 [2 per cell]



(8)
Computed, not measured: crystalline B5C7 at its relaxed geometry at the PBE level of DFT.

Properties
density of states at the Fermi level: 4.11 states/eV/cell
energy of formation: 418 meV/atom

Cell: 12.331 2.544 5.119 Å, 90.00 103.40 90.00°
Space group Cm (No. 8)
Symmetry-distinct sites (fractional):
1 B 0.000 0.000 0.000 [2 per cell]
2 B 0.003 0.000 0.469 [2 per cell]
3 B 0.096 0.000 0.806 [2 per cell]
4 B 0.187 0.500 0.795 [2 per cell]
5 B 0.261 0.500 0.134 [2 per cell]
6 C 0.103 0.000 0.289 [2 per cell]
7 C 0.175 0.500 0.327 [2 per cell]
8 C 0.268 0.500 0.606 [2 per cell]
9 C 0.343 0.000 0.647 [2 per cell]
10 C 0.345 0.000 0.155 [2 per cell]
11 C 0.413 0.000 0.944 [2 per cell]
12 C 0.418 0.000 0.439 [2 per cell]



(9)
Computed, not measured: crystalline Zr6ScAl2 at its relaxed geometry at the PBE level of DFT.

Properties
density of states at the Fermi level: 20.83 states/eV/cell
energy of formation: -148 meV/atom

Cell: 12.037 3.250 10.427 Å, 90.00 105.86 90.00°
Space group C2/m (No. 12)
Symmetry-distinct sites (fractional):
1 Zr 0.019 0.000 0.349 [4 per cell]
2 Zr 0.170 0.500 0.881 [4 per cell]
3 Zr 0.186 0.500 0.588 [4 per cell]
4 Sc 0.000 0.000 0.000 [2 per cell]
5 Al 0.153 0.500 0.196 [4 per cell]



(10)
Computed, not measured: crystalline Y2ThCo2 at its relaxed geometry at the PBE level of DFT.

Properties
density of states at the Fermi level: 18.04 states/eV/cell
energy of formation: -260 meV/atom

Cell: 10.590 6.081 7.155 Å, 90.00 100.68 90.00°
Space group C2/c (No. 15)
Symmetry-distinct sites (fractional):
1 Y 0.155 0.105 0.152 [8 per cell]
2 Th 0.000 0.415 0.750 [4 per cell]
3 Co 0.155 0.343 0.508 [8 per cell]



(11)
Computed, not measured: crystalline TbDy2Y at its relaxed geometry at the PBE level of DFT.

Properties
density of states at the Fermi level: 14.12 states/eV/cell
energy of formation: 8 meV/atom

Cell: 3.634 11.311 6.284 Å, 90.00 90.00 90.00°
Space group Imm2 (No. 44)
Symmetry-distinct sites (fractional):
1 Tb 0.000 0.000 0.000 [2 per cell]
2 Dy 0.000 0.251 0.668 [4 per cell]
3 Y 0.000 0.500 0.000 [2 per cell]



(12)
Computed, not measured: crystalline K4Pm3AlSe8 at its relaxed geometry at the PBE level of DFT.

Properties
E_form (uncorrected): -1521 meV per atom

Cell: 8.4447 8.4447 23.0848 Å, 90.00 90.00 120.00°
Space group R-3m (No. 166, hexagonal axes)
Symmetry-distinct sites (fractional):
1 K 0.0000 0.0000 0.0000 [3 per cell]
2 K 0.0000 0.5000 0.0000 [9 per cell]
3 Pm 0.0000 0.5000 0.5000 [9 per cell]
4 Al 0.0000 0.0000 0.5000 [3 per cell]
5 Se 0.0000 0.0000 0.2376 [6 per cell]
6 Se 0.0264 0.5132 0.2330 [18 per cell]



Q: What is the formula in the third record?
A: PmNd12Er6



Q: Number 11 is which compound?
A: TbDy2Y